(1)
CrGe2Pt | GGA-PBE | relaxed

Geometry as POSCAR:
```
CrGe2Pt
1.0
2.993 0.000 0.000
1.496 2.592 0.000
1.496 0.864 8.920
Ge Cr Pt
2 1 1
direct
0.908 0.908 0.275
0.092 0.092 0.725
0.000 0.000 0.000
0.500 0.500 0.500
```

Summary:
Mass density   9.4 g/cm³
Symmetry   R-3m, No. 166
Volume   69 Å³/cell
Energy relative to the lowest polymorph listed for this composition   0.209 eV per atom
Energy relative to the elements   6.057 kcal/mol of atoms

(2)
MgTe2I | GGA-PBE | relaxed

Geometry as POSCAR:
```
MgTe2I
1.0
3.509 0.000 4.801
-1.755 3.039 4.801
-1.755 -3.039 4.801
Te I Mg
2 1 1
direct
0.184 0.184 0.184
0.816 0.816 0.816
0.500 0.500 0.500
0.000 0.000 0.000
```

Summary:
Mass density   4.4 g/cm³
Symmetry   R-3m, No. 166
Volume   154 Å³/cell
Energy relative to the lowest polymorph listed for this composition   0.287 eV per atom
Formation energy without anion corrections   28 meV per atom

(3)
YZr2S5 | GGA-PBE | relaxed

Geometry as POSCAR:
```
YZr2S5
1.0
-1.631 -3.790 2.924
5.256 -4.544 1.426
0.791 1.708 7.024
S Y Zr
5 1 2
direct
0.788 0.264 0.161
0.448 0.264 0.839
0.212 0.736 0.839
0.000 0.500 0.500
0.552 0.736 0.161
0.500 0.500 0.500
0.815 0.500 0.871
0.185 0.500 0.129
```

Summary:
Mass density   3.1 g/cm³
Symmetry   C2/m, No. 12
Volume   228 Å³/cell
Formation energy without anion corrections   -1326 meV per atom